Record 1
# NiAgPb2, optimized geometry, DFT PBE
# Total magnetization = 0.00 μB/f.u.
# Formation energy = 44.4 kJ per mole of atoms
# Calculated volume = 359.6 Å³ per cell
data_NiAgPb2
_chemical_formula_sum 'Ni4 Ag4 Pb8'
_space_group_name_H-M_alt 'F -4 3 m'
_space_group_IT_number 216
_space_group_name_Hall 'F -4 2 3'
_cell_length_a 7.111
_cell_length_b 7.111
_cell_length_c 7.111
_cell_angle_alpha 90.00
_cell_angle_beta 90.00
_cell_angle_gamma 90.00
loop_
_atom_site_label
_atom_site_type_symbol
_atom_site_fract_x
_atom_site_fract_y
_atom_site_fract_z
Ni1 Ni 0.000 0.000 0.000
Ag1 Ag 0.250 0.250 0.750
Pb1 Pb 0.000 0.000 0.500
Pb2 Pb 0.250 0.250 0.250

=====

Record 2
# Sm12As3C5, optimized geometry, DFT PBE
# Total magnetization = 0.00 μB/f.u.
# Formation energy = -41.0 kJ per mole of atoms
# Calculated volume = 3970.7 Å³ per cell
data_Sm12As3C5
_chemical_formula_sum 'Sm96 As24 C40'
_space_group_name_H-M_alt 'I a -3 d'
_space_group_IT_number 230
_space_group_name_Hall '-I 4bd 2c 3'
_cell_length_a 15.835
_cell_length_b 15.835
_cell_length_c 15.835
_cell_angle_alpha 90.00
_cell_angle_beta 90.00
_cell_angle_gamma 90.00
loop_
_atom_site_label
_atom_site_type_symbol
_atom_site_fract_x
_atom_site_fract_y
_atom_site_fract_z
Sm1 Sm 0.031 0.056 0.650
As1 As 0.000 0.250 0.125
C1 C 0.000 0.000 0.000
C2 C 0.000 0.250 0.375